Below is an optimized crystal structure of ThNpO5, with properties calculated at the PBE level.

Output
* uncorrected formation energy: -304.53 kJ/mol of atoms
* electronic total energy: -9.6065 eV/atom
* volume: 239 Å³ per cell

Lattice parameters (Å, degrees): 4.109 6.859 8.478 90.00 90.00 90.00
Space group Immm (No. 71)
Asymmetric unit:
Th: 0.000 0.000 0.000 (multiplicity 2)
Np: 0.000 0.000 0.500 (multiplicity 2)
O: 0.000 0.000 0.262 (multiplicity 4)
O: 0.000 0.306 0.500 (multiplicity 4)
O: 0.000 0.500 0.000 (multiplicity 2)

Below is an optimized crystal structure of ThNp2O8, with properties calculated at the PBE level.

Output
* uncorrected formation energy: -268.89 kJ/mol of atoms
* electronic total energy: -9.4202 eV/atom
* volume: 265 Å³ per cell

Lattice parameters (Å, degrees): 6.699 9.750 4.132 90.00 101.02 90.00
Space group C2/m (No. 12)
Asymmetric unit:
Th: 0.000 0.000 0.000 (multiplicity 2)
Np: 0.000 0.320 0.500 (multiplicity 4)
O: 0.000 0.248 0.000 (multiplicity 4)
O: 0.124 0.500 0.783 (multiplicity 4)
O: 0.186 0.134 0.580 (multiplicity 8)

Below is an optimized crystal structure of Th2NpO8, with properties calculated at the PBE level.

Output
* uncorrected formation energy: -278.86 kJ/mol of atoms
* electronic total energy: -9.0216 eV/atom
* volume: 275 Å³ per cell

Lattice parameters (Å, degrees): 3.992 4.806 14.350 90.00 90.00 90.00
Space group Immm (No. 71)
Asymmetric unit:
Th: 0.000 0.000 0.165 (multiplicity 4)
Np: 0.000 0.000 0.500 (multiplicity 2)
O: 0.000 0.249 0.390 (multiplicity 8)
O: 0.000 0.253 0.000 (multiplicity 4)
O: 0.000 0.500 0.229 (multiplicity 4)